No. 1
The following is a DFT calculation (GGA+U) of PaMnCo2O6 after structural relaxation.

Structure (extended XYZ):
```
10
Lattice="5.304 0.019 0.023 2.670 4.603 -0.012 2.675 1.516 4.807" Properties=species:S:1:pos:R:3 pbc="T T T"
Mn 2.657 1.547 0.175
O 4.353 4.686 1.208
O 4.404 1.408 1.218
O 6.126 1.748 3.707
O 6.084 4.424 3.690
O 3.782 3.014 3.674
O 7.206 3.102 1.220
Pa 7.985 4.607 2.670
Co 5.327 3.064 2.046
Co 2.663 1.546 4.546
```

Computed properties:
**E_tot**: -75.742 eV/cell
**Spin magnetization**: 4.00 μB per formula unit

=====

No. 2
The following is a DFT calculation (GGA+U) of PaMn2CoO8 after structural relaxation.

Structure (extended XYZ):
```
12
Lattice="5.043 0.000 0.000 0.000 5.043 0.000 -2.522 -2.522 5.438" Properties=species:S:1:pos:R:3 pbc="T T T"
O 1.619 1.274 0.857
O 1.409 1.640 3.575
O 1.247 -0.903 4.581
O -1.409 -1.640 3.575
O 3.424 3.769 0.857
O 4.162 1.112 1.862
O -1.247 0.903 4.581
O 0.881 3.931 1.862
Mn 2.522 2.522 0.000
Mn 0.000 2.522 2.719
Pa 2.522 0.000 2.719
Co 0.000 0.000 0.000
```

Computed properties:
**E_tot**: -88.280 eV/cell
**Spin magnetization**: 7.99 μB per formula unit

=====

No. 3
The following is a DFT calculation (GGA+U) of PaMn2CoO6 after structural relaxation.

Structure (extended XYZ):
```
10
Lattice="5.542 -0.059 0.161 2.721 4.587 0.084 2.897 1.513 4.957" Properties=species:S:1:pos:R:3 pbc="T T T"
O 3.868 2.882 3.772
O 7.543 3.178 1.376
O 6.362 4.512 3.906
O 4.463 4.641 1.478
O 4.799 1.274 1.273
O 6.458 1.671 3.876
Co 2.789 1.484 0.366
Mn 5.572 3.029 2.214
Mn 2.842 1.506 4.719
Pa 8.355 4.519 3.024
```

Computed properties:
**E_tot**: -80.500 eV/cell
**Spin magnetization**: 12.00 μB per formula unit

=====

No. 4
The following is a DFT calculation (GGA+U) of MnCoPt2O after structural relaxation.

Structure (extended XYZ):
```
5
Lattice="4.909 0.000 0.000 0.000 3.260 0.000 0.000 0.000 4.909" Properties=species:S:1:pos:R:3 pbc="T T T"
O 0.000 1.630 0.000
Co 0.000 0.000 0.000
Pt 0.000 0.000 2.455
Pt 2.455 0.000 0.000
Mn 2.455 1.630 2.455
```

Computed properties:
**E_tot**: -28.073 eV/cell
**Spin magnetization**: 4.89 μB per formula unit